No. 1
Li2Ac3Zn3: optimized geometry, PBE-GGA.

Calculated values
ΔE_f: -0.14 eV per atom

a b c (Å): 8.041 16.779 6.475
angles (deg): 90.00 90.00 90.00
Space group Pnma (No. 62)
Unique sites:
Li 0.130 0.095 0.142 x8
Ac 0.026 0.605 0.351 x8
Ac 0.173 0.750 0.891 x4
Zn 0.170 0.537 0.916 x8
Zn 0.198 0.250 0.904 x4



No. 2
ScSiSe2Br: optimized geometry, PBE-GGA.

Calculated values
Uncorrected formation energy: -0.9 eV per formula unit
Polymorph energy (0 for the lowest one): 80 meV/atom

a b c (Å): 4.942 4.942 4.891
angles (deg): 90.00 90.00 90.00
Space group P4/mmm (No. 123)
Unique sites:
Sc 0.000 0.000 0.000 x1
Si 0.500 0.500 0.500 x1
Se 0.000 0.500 0.500 x2
Br 0.500 0.500 0.000 x1



No. 3
LaPr2Ho5: optimized geometry, PBE-GGA.

Calculated values
ΔE_f: 0.04 eV per atom
Polymorph energy (0 for the lowest one): 14 meV/atom

a b c (Å): 3.578 11.254 13.218
angles (deg): 90.00 90.00 90.00
Space group Immm (No. 71)
Unique sites:
La 0.000 0.000 0.000 x2
Pr 0.000 0.500 0.258 x4
Ho 0.000 0.229 0.368 x8
Ho 0.000 0.500 0.000 x2



No. 4
TcWAu2: optimized geometry, PBE-GGA.

Calculated values
ΔE_f: 0.45 eV per atom
Polymorph energy (0 for the lowest one): 197 meV/atom

a b c (Å): 2.8317 2.8317 28.4121
angles (deg): 90.00 90.00 120.00
Space group R-3m (No. 166, hexagonal axes)
Unique sites:
Tc 0.0000 0.0000 0.0000 x3
W 0.0000 0.0000 0.5000 x3
Au 0.0000 0.0000 0.2507 x6



No. 5
Sc2CdP: optimized geometry, PBE-GGA.

Calculated values
ΔE_f: -0.67 eV per atom
Polymorph energy (0 for the lowest one): 159 meV/atom

a b c (Å): 3.445 3.445 6.542
angles (deg): 90.00 90.00 90.00
Space group P4/mmm (No. 123)
Unique sites:
Sc 0.000 0.000 0.216 x2
Cd 0.500 0.500 0.500 x1
P 0.500 0.500 0.000 x1



No. 6
CaSi2Rh: optimized geometry, PBE-GGA.

Calculated values
Uncorrected formation energy: -2.6 eV per formula unit

a b c (Å): 7.339 3.927 5.601
angles (deg): 90.00 112.46 90.00
Space group C2/m (No. 12)
Unique sites:
Ca 0.000 0.000 0.000 x2
Si 0.215 0.000 0.628 x4
Rh 0.000 0.500 0.500 x2



No. 7
SmGdRu2: optimized geometry, PBE-GGA.

Calculated values
ΔE_f: -0.20 eV per atom
Polymorph energy (0 for the lowest one): 0 meV/atom

a b c (Å): 3.449 3.449 6.900
angles (deg): 90.00 90.00 90.00
Space group P4/mmm (No. 123)
Unique sites:
Sm 0.000 0.000 0.000 x1
Gd 0.000 0.000 0.500 x1
Ru 0.500 0.500 0.253 x2



No. 8
MgSc3S4: optimized geometry, PBE-GGA.

Calculated values
Uncorrected formation energy: -12.6 eV per formula unit
Polymorph energy (0 for the lowest one): 148 meV/atom

a b c (Å): 5.178 8.536 7.633
angles (deg): 90.00 90.00 90.00
Space group Pmmn (No. 59, origin choice 2)
Unique sites:
Mg 0.250 0.250 0.113 x2
Sc 0.250 0.526 0.651 x4
Sc 0.250 0.750 0.232 x2
S 0.250 0.035 0.327 x4
S 0.250 0.250 0.786 x2
S 0.250 0.750 0.891 x2



No. 9
SrSnPb2Cl8: optimized geometry, PBE-GGA.

Calculated values
Uncorrected formation energy: -17.3 eV per formula unit

a b c (Å): 6.649 8.864 6.830
angles (deg): 90.00 90.23 90.00
Space group P2/m (No. 10)
Unique sites:
Sr 0.000 0.000 0.000 x1
Sn 0.000 0.500 0.000 x1
Pb 0.500 0.252 0.500 x2
Cl 0.222 0.254 0.167 x4
Cl 0.270 0.500 0.673 x2
Cl 0.276 0.000 0.668 x2



no.,total magnetic moment (μB per cell),raw total energy (eV/atom)
1,0.0,-2.64
2,0.7,-4.27
3,0.0,-4.63
4,0.9,-7.02
5,0.6,-5.41
6,0.0,-5.71
7,6.9,-9.54
8,0.0,-6.22
9,0.0,-3.76